# TlCd3Br8 PBE optimized geometry
# density of states at the Fermi level: 3.781 states/eV/cell
# total moment: 0.0 μB per cell
# ΔE_f (raw): -760.5 meV/atom
data_TlCd3Br8
_cell_length_a 8.2748
_cell_length_b 8.2748
_cell_length_c 8.3739
_cell_angle_alpha 120.21
_cell_angle_beta 120.21
_cell_angle_gamma 60.04
_symmetry_space_group_name_H-M 'P 1'
_symmetry_Int_Tables_number 1
loop_
_symmetry_equiv_pos_as_xyz
'x,y,z'
loop_
_atom_site_label
_atom_site_fract_x
_atom_site_fract_y
_atom_site_fract_z
Tl1 0.0000 0.0000 0.0000
Cd1 0.0000 0.5000 0.0000
Cd2 0.5000 0.0000 0.0000
Cd3 0.5000 0.5000 0.0000
Br1 0.2554 0.2554 0.7710
Br2 0.2572 0.2572 0.2362
Br3 0.2573 0.7261 0.2361
Br4 0.2739 0.7427 0.7639
Br5 0.7261 0.2573 0.2361
Br6 0.7427 0.2739 0.7639
Br7 0.7428 0.7428 0.7638
Br8 0.7446 0.7446 0.2290

=====

# CoRh PBE optimized geometry
# density of states at the Fermi level: 6.631 states/eV/cell
# energy of formation: 237 meV per atom
# total moment: 4.5 μB per cell
data_CoRh
_cell_length_a 2.6129
_cell_length_b 2.6129
_cell_length_c 8.6449
_cell_angle_alpha 90.00
_cell_angle_beta 90.00
_cell_angle_gamma 117.35
_symmetry_space_group_name_H-M 'P 1'
_symmetry_Int_Tables_number 1
loop_
_symmetry_equiv_pos_as_xyz
'x,y,z'
loop_
_atom_site_label
_atom_site_fract_x
_atom_site_fract_y
_atom_site_fract_z
Co1 0.2500 0.7500 0.8864
Co2 0.7500 0.2500 0.1136
Rh1 0.2500 0.7500 0.3634
Rh2 0.7500 0.2500 0.6366

=====

# Pm2DyScSe4 PBE optimized geometry
# density of states at the Fermi level: 4.440 states/eV/cell
# total moment: 0.0 μB per cell
# ΔE_f (raw): -1741.9 meV/atom
data_Pm2DyScSe4
_cell_length_a 7.0245
_cell_length_b 4.0318
_cell_length_c 7.2163
_cell_angle_alpha 90.00
_cell_angle_beta 108.78
_cell_angle_gamma 90.00
_symmetry_space_group_name_H-M 'P 1'
_symmetry_Int_Tables_number 1
loop_
_symmetry_equiv_pos_as_xyz
'x,y,z'
loop_
_atom_site_label
_atom_site_fract_x
_atom_site_fract_y
_atom_site_fract_z
Pm1 0.0000 0.0000 0.0000
Pm2 0.5000 0.5000 0.0000
Dy1 0.0000 0.5000 0.5000
Sc1 0.5000 0.0000 0.5000
Se1 0.2515 0.0000 0.7335
Se2 0.2643 0.5000 0.2715
Se3 0.7357 0.5000 0.7285
Se4 0.7485 0.0000 0.2665

=====

# Sc2BeW PBE optimized geometry
# density of states at the Fermi level: 3.735 states/eV/cell
# energy of formation: 300 meV per atom
# total moment: 0.0 μB per cell
data_Sc2BeW
_cell_length_a 4.8625
_cell_length_b 4.8625
_cell_length_c 3.0089
_cell_angle_alpha 90.00
_cell_angle_beta 90.00
_cell_angle_gamma 90.08
_symmetry_space_group_name_H-M 'P 1'
_symmetry_Int_Tables_number 1
loop_
_symmetry_equiv_pos_as_xyz
'x,y,z'
loop_
_atom_site_label
_atom_site_fract_x
_atom_site_fract_y
_atom_site_fract_z
Sc1 0.0000 0.5000 0.0000
Sc2 0.5000 0.0000 0.0000
Be1 0.0000 0.0000 0.5000
W1 0.5000 0.5000 0.5000

=====

# DyHoBeZn PBE optimized geometry
# density of states at the Fermi level: 4.052 states/eV/cell
# energy of formation: -111 meV per atom
# total moment: 0.0 μB per cell
data_DyHoBeZn
_cell_length_a 4.9313
_cell_length_b 4.9313
_cell_length_c 4.9313
_cell_angle_alpha 60.00
_cell_angle_beta 60.00
_cell_angle_gamma 60.00
_symmetry_space_group_name_H-M 'P 1'
_symmetry_Int_Tables_number 1
loop_
_symmetry_equiv_pos_as_xyz
'x,y,z'
loop_
_atom_site_label
_atom_site_fract_x
_atom_site_fract_y
_atom_site_fract_z
Dy1 0.0000 0.0000 0.0000
Ho1 0.5000 0.5000 0.5000
Be1 0.7500 0.7500 0.7500
Zn1 0.2500 0.2500 0.2500

=====

# IrPt2Cl PBE optimized geometry
# density of states at the Fermi level: 1.231 states/eV/cell
# excess energy over the best structure of this formula in the dataset: 501 meV per atom
# total moment: 0.0 μB per cell
# ΔE_f (raw): 787.8 meV/atom
data_IrPt2Cl
_cell_length_a 4.4968
_cell_length_b 4.4968
_cell_length_c 4.4968
_cell_angle_alpha 60.00
_cell_angle_beta 60.00
_cell_angle_gamma 60.00
_symmetry_space_group_name_H-M 'P 1'
_symmetry_Int_Tables_number 1
loop_
_symmetry_equiv_pos_as_xyz
'x,y,z'
loop_
_atom_site_label
_atom_site_fract_x
_atom_site_fract_y
_atom_site_fract_z
Ir1 0.0000 0.0000 0.0000
Pt1 0.2500 0.2500 0.2500
Pt2 0.7500 0.7500 0.7500
Cl1 0.5000 0.5000 0.5000

=====

# CeZnSi PBE optimized geometry
# density of states at the Fermi level: 4.616 states/eV/cell
# total moment: 0.0 μB per cell
# ΔE_f (raw): 271.6 meV/atom
data_CeZnSi
_cell_length_a 8.1371
_cell_length_b 8.1371
_cell_length_c 8.1371
_cell_angle_alpha 160.31
_cell_angle_beta 160.31
_cell_angle_gamma 27.99
_symmetry_space_group_name_H-M 'P 1'
_symmetry_Int_Tables_number 1
loop_
_symmetry_equiv_pos_as_xyz
'x,y,z'
loop_
_atom_site_label
_atom_site_fract_x
_atom_site_fract_y
_atom_site_fract_z
Ce1 0.0000 0.0000 0.0000
Zn1 0.6611 0.6611 0.0000
Si1 0.8155 0.8155 0.0000

=====

# Rb2Tl2CdPb PBE optimized geometry
# density of states at the Fermi level: 7.194 states/eV/cell
# energy of formation: -103 meV per atom
# total moment: 0.0 μB per cell
data_Rb2Tl2CdPb
_cell_length_a 10.3140
_cell_length_b 10.3140
_cell_length_c 10.3140
_cell_angle_alpha 138.41
_cell_angle_beta 59.75
_cell_angle_gamma 139.10
_symmetry_space_group_name_H-M 'P 1'
_symmetry_Int_Tables_number 1
loop_
_symmetry_equiv_pos_as_xyz
'x,y,z'
loop_
_atom_site_label
_atom_site_fract_x
_atom_site_fract_y
_atom_site_fract_z
Rb1 0.1675 0.2394 0.4070
Rb2 0.3325 0.7395 0.0719
Rb3 0.6675 0.2606 0.9281
Rb4 0.8325 0.7605 0.5930
Tl1 0.1065 0.7344 0.8409
Tl2 0.3935 0.2344 0.6278
Tl3 0.6065 0.7656 0.3722
Tl4 0.8935 0.2656 0.1591
Cd1 0.2500 0.7500 0.5000
Cd2 0.7500 0.2500 0.5000
Pb1 0.2500 0.2500 0.0000
Pb2 0.7500 0.7500 0.0000